A relaxed CaCrTc2 crystal, computed with GGA-PBE.

Structure (CIF):
```
data_CaCrTc2
_cell_length_a 6.387
_cell_length_b 6.387
_cell_length_c 6.387
_cell_angle_alpha 90.00
_cell_angle_beta 90.00
_cell_angle_gamma 90.00
_space_group_name_H-M_alt 'F -4 3 m'
_space_group_IT_number 216
_space_group_name_Hall 'F -4 2 3'
loop_
_atom_site_label
_atom_site_fract_x
_atom_site_fract_y
_atom_site_fract_z
Ca1 0.000 0.000 0.000
Cr1 0.250 0.250 0.250
Tc1 0.000 0.000 0.500
Tc2 0.250 0.250 0.750
```

Crystal system ... cubic
Energy relative to the lowest polymorph listed for this composition ... 384 meV per atom
E_form ... 0.606 eV per atom



A relaxed Ho3Cd5 crystal, computed with GGA-PBE.

Structure (CIF):
```
data_Ho3Cd5
_cell_length_a 7.581
_cell_length_b 10.346
_cell_length_c 5.062
_cell_angle_alpha 90.00
_cell_angle_beta 90.00
_cell_angle_gamma 90.00
_space_group_name_H-M_alt 'C m m m'
_space_group_IT_number 65
_space_group_name_Hall '-C 2 2'
loop_
_atom_site_label
_atom_site_fract_x
_atom_site_fract_y
_atom_site_fract_z
Ho1 0.000 0.000 0.000
Ho2 0.000 0.266 0.500
Cd1 0.000 0.500 0.000
Cd2 0.243 0.000 0.500
Cd3 0.250 0.250 0.000
```

Crystal system ... orthorhombic
Energy relative to the lowest polymorph listed for this composition ... 0 meV per atom
E_form ... -0.281 eV per atom



A relaxed Tb2Sn5Ru3 crystal, computed with GGA-PBE.

Structure (CIF):
```
data_Tb2Sn5Ru3
_cell_length_a 4.451
_cell_length_b 26.601
_cell_length_c 7.206
_cell_angle_alpha 90.00
_cell_angle_beta 90.00
_cell_angle_gamma 90.00
_space_group_name_H-M_alt 'C m c 21'
_space_group_IT_number 36
loop_
_space_group_symop_operation_xyz
'x,y,z'
'-x,-y,z+1/2'
'-x,y,z'
'x,-y,z+1/2'
'x+1/2,y+1/2,z'
'-x+1/2,-y+1/2,z+1/2'
'-x+1/2,y+1/2,z'
'x+1/2,-y+1/2,z+1/2'
loop_
_atom_site_label
_atom_site_fract_x
_atom_site_fract_y
_atom_site_fract_z
Tb1 0.000 0.023 0.000
Tb2 0.000 0.326 0.981
Sn1 0.000 0.097 0.630
Sn2 0.000 0.206 0.190
Sn3 0.000 0.209 0.763
Sn4 0.000 0.378 0.495
Sn5 0.000 0.451 0.831
Ru1 0.000 0.106 0.252
Ru2 0.000 0.276 0.474
Ru3 0.000 0.451 0.217
```

Crystal system ... orthorhombic
E_form ... -0.414 eV per atom



A relaxed Rb6H3AuCl2 crystal, computed with GGA-PBE.

Structure (CIF):
```
data_Rb6H3AuCl2
_cell_length_a 20.007
_cell_length_b 4.532
_cell_length_c 9.215
_cell_angle_alpha 90.00
_cell_angle_beta 103.72
_cell_angle_gamma 90.00
_space_group_name_H-M_alt 'C 1 2/m 1'
_space_group_IT_number 12
loop_
_space_group_symop_operation_xyz
'x,y,z'
'-x,-y,-z'
'-x,y,-z'
'x,-y,z'
'x+1/2,y+1/2,z'
'-x+1/2,-y+1/2,-z'
'-x+1/2,y+1/2,-z'
'x+1/2,-y+1/2,z'
loop_
_atom_site_label
_atom_site_fract_x
_atom_site_fract_y
_atom_site_fract_z
Rb1 0.004 0.000 0.224
Rb2 0.163 0.500 0.094
Rb3 0.175 0.500 0.576
H1 0.000 0.500 0.000
H2 0.169 0.000 0.330
Au1 0.000 0.500 0.500
Cl1 0.167 0.000 0.835
```

Crystal system ... monoclinic



A relaxed LaZrTe crystal, computed with GGA-PBE.

Structure (CIF):
```
data_LaZrTe
_cell_length_a 3.8979
_cell_length_b 3.8979
_cell_length_c 6.9144
_cell_angle_alpha 90.00
_cell_angle_beta 90.00
_cell_angle_gamma 120.00
_space_group_name_H-M_alt 'P 3 m 1'
_space_group_IT_number 156
loop_
_space_group_symop_operation_xyz
'x,y,z'
'-y,x-y,z'
'-x+y,-x,z'
'-y,-x,z'
'-x+y,y,z'
'x,x-y,z'
loop_
_atom_site_label
_atom_site_fract_x
_atom_site_fract_y
_atom_site_fract_z
La1 0.0000 0.0000 0.0000
Zr1 0.3333 0.6667 0.6129
Te1 0.6667 0.3333 0.3454
```

Crystal system ... trigonal
Energy relative to the lowest polymorph listed for this composition ... 114 meV per atom
Raw formation energy ... -1.6 eV/f.u.



A relaxed Ag3Mo crystal, computed with GGA-PBE.

Structure (CIF):
```
data_Ag3Mo
_cell_length_a 9.4992
_cell_length_b 9.4992
_cell_length_c 2.6847
_cell_angle_alpha 90.00
_cell_angle_beta 90.00
_cell_angle_gamma 120.00
_space_group_name_H-M_alt 'R -3 m'
_space_group_IT_number 166
_space_group_name_Hall '-R 3 2"'
loop_
_atom_site_label
_atom_site_fract_x
_atom_site_fract_y
_atom_site_fract_z
Ag1 0.0000 0.5000 0.0000
Mo1 0.0000 0.0000 0.0000
```

Crystal system ... trigonal
Energy relative to the lowest polymorph listed for this composition ... 243 meV per atom
E_form ... 0.542 eV per atom



A relaxed DyThOsSe crystal, computed with GGA-PBE.

Structure (CIF):
```
data_DyThOsSe
_cell_length_a 4.0941
_cell_length_b 4.0941
_cell_length_c 21.4533
_cell_angle_alpha 90.00
_cell_angle_beta 90.00
_cell_angle_gamma 120.00
_space_group_name_H-M_alt 'R 3 m'
_space_group_IT_number 160
_space_group_name_Hall 'R 3 -2"'
loop_
_atom_site_label
_atom_site_fract_x
_atom_site_fract_y
_atom_site_fract_z
Dy1 0.0000 0.0000 0.0000
Th1 0.0000 0.0000 0.8101
Os1 0.0000 0.0000 0.4075
Se1 0.0000 0.0000 0.2434
```

Crystal system ... trigonal
Raw formation energy ... -3.5 eV/f.u.



A relaxed Sr3Ag2Sn9 crystal, computed with GGA-PBE.

Structure (CIF):
```
data_Sr3Ag2Sn9
_cell_length_a 4.679
_cell_length_b 12.378
_cell_length_c 13.920
_cell_angle_alpha 90.00
_cell_angle_beta 90.00
_cell_angle_gamma 90.00
_space_group_name_H-M_alt 'I m m m'
_space_group_IT_number 71
_space_group_name_Hall '-I 2 2'
loop_
_atom_site_label
_atom_site_fract_x
_atom_site_fract_y
_atom_site_fract_z
Sr1 0.000 0.000 0.000
Sr2 0.000 0.000 0.306
Ag1 0.000 0.181 0.500
Sn1 0.000 0.291 0.140
Sn2 0.000 0.368 0.357
Sn3 0.000 0.500 0.000
```

Crystal system ... orthorhombic
E_form ... -0.295 eV per atom



D(E_F) across the listed records, respectively: 3.7, 4.1, 7.9, 0.0, 2.9, 3.2, 2.9, 7.7 states/eV/f.u..
Electronic total energy across the listed records, respectively: -119.729, -41.121, -244.955, -63.855, -18.175, -51.656, -90.593, -101.803 eV/cell.